# La2GaN4 PBE-GGA optimized geometry
# M_tot = 5.17 Bohr magnetons per cell
# VASP energy = -0.5141 Ry/atom
# Uncorrected formation energy = -0.398 eV per atom
data_La2GaN4
_cell_length_a 3.948
_cell_length_b 3.948
_cell_length_c 12.843
_cell_angle_alpha 90.00
_cell_angle_beta 90.00
_cell_angle_gamma 90.00
_space_group_name_H-M_alt 'I 4/m m m'
_space_group_IT_number 139
_space_group_name_Hall '-I 4 2'
loop_
_atom_site_label
_atom_site_fract_x
_atom_site_fract_y
_atom_site_fract_z
La1 0.000 0.000 0.141
Ga1 0.000 0.000 0.500
N1 0.000 0.000 0.330
N2 0.000 0.500 0.000